The following is a GGA+U calculation of crystalline Li4Mn2Cu3Sn3O16 at its relaxed geometry, from the Alexandria database.

For the magnetic moment, the calculation gives 4.33 μB per cell. The calculation puts the density at 5.1 g cm⁻³. The energy comes out at -163.6 eV per cell.

a b c (Å): 6.0734 6.0734 9.4707
angles (deg): 90.10 90.10 60.24
Last column: nearest neighbours and their distance in Å.
Fractional coordinates of all 28 atoms:
Li (0.0000, 0.0000, 0.0000)  4 O 1.96-2.06
Li (0.3244, 0.3244, 0.5183)  4 O 1.91-2.05
Li (0.5515, 0.5515, 0.4379)  3 O 1.86-2.00
Li (0.6463, 0.6463, 0.8991)  2 O 1.81-1.94
Mn (0.0062, 0.0062, 0.4162)  6 O 1.89-2.03
Mn (0.3312, 0.3312, 0.9102)  6 O 1.92-2.12
Cu (0.3240, 0.8399, 0.6886)  6 O 1.95-2.15
Cu (0.4949, 0.4949, 0.1790)  6 O 1.94-2.17
Cu (0.8399, 0.3240, 0.6886)  6 O 1.95-2.15
Sn (0.0024, 0.4973, 0.1956)  6 O 2.06-2.14
Sn (0.4973, 0.0024, 0.1956)  6 O 2.06-2.14
Sn (0.8345, 0.8345, 0.6848)  6 O 2.05-2.13
O (0.0046, 0.0046, 0.7927)  2 Cu 1.95, 1 Li 1.96, 1 Sn 2.06
O (0.1440, 0.1440, 0.5451)  1 Mn 1.89, 1 Li 1.91, 2 Cu 2.11
O (0.1515, 0.7086, 0.5466)  1 Mn 2.00, 1 Li 2.05, 1 Cu 2.09, 1 Sn 2.13
O (0.1817, 0.1817, 0.0596)  1 Li 1.99, 2 Sn 2.11, 1 Mn 2.12
O (0.1838, 0.6190, 0.0469)  1 Mn 1.99, 1 Li 2.06, 1 Cu 2.07, 1 Sn 2.14
O (0.3261, 0.8341, 0.3088)  1 Mn 1.97, 1 Li 2.00, 1 Sn 2.08, 1 Cu 2.17
O (0.3424, 0.3424, 0.3059)  1 Cu 2.01, 1 Li 2.02, 2 Sn 2.08
O (0.4847, 0.4847, 0.7998)  1 Mn 1.92, 1 Li 1.94, 2 Cu 2.15
O (0.4965, 0.9979, 0.8061)  1 Mn 2.01, 1 Li 2.06, 1 Cu 2.06, 1 Sn 2.12
O (0.6190, 0.1838, 0.0469)  1 Mn 1.99, 1 Li 2.06, 1 Cu 2.07, 1 Sn 2.14
O (0.6561, 0.6561, 0.5965)  1 Li 1.86, 2 Cu 1.96, 1 Sn 2.05
O (0.6614, 0.6614, 0.0899)  1 Li 1.81, 1 Cu 1.94
O (0.7086, 0.1515, 0.5466)  1 Mn 2.00, 1 Li 2.05, 1 Cu 2.09, 1 Sn 2.13
O (0.8341, 0.3261, 0.3088)  1 Mn 1.97, 1 Li 2.00, 1 Sn 2.08, 1 Cu 2.17
O (0.8439, 0.8439, 0.3001)  1 Mn 2.03, 2 Sn 2.08
O (0.9979, 0.4965, 0.8061)  1 Mn 2.01, 1 Li 2.06, 1 Cu 2.06, 1 Sn 2.12